Version one
Compound: TlIn2Mo
Source: Alexandria
Functional: GGA-PBE
Structure: optimized geometry

Computed properties:
As for the crystal system: orthorhombic.

Cell: 5.213 3.080 5.379 Å, 90.00 90.00 90.00°
Positions (direct):
In 0.000 0.125 0.959
In 0.500 0.125 0.300
Mo 0.000 0.625 0.457
Tl 0.500 0.625 0.783

=====

Version two
Compound: TlIn2Mo
Source: Alexandria
Functional: GGA-PBE
Structure: optimized geometry

Computed properties:
As for the crystal system: cubic.

Cell: 5.132 5.132 5.132 Å, 60.00 60.00 60.00°
Positions (direct):
Tl 0.500 0.500 0.500
Mo 0.000 0.000 0.000
In 0.250 0.250 0.250
In 0.750 0.750 0.750

=====

Which structure wins on stability? version one wins.